Record 1
# BaNiAsPb (PBE, optimized geometry)
# * total energy: -4.510 eV per atom
# * Fermi-level density of states: 8.8 states/eV per cell
data_BaNiAsPb
_chemical_formula_sum 'Ba2 Ni2 As2 Pb2'
_cell_length_a 4.339
_cell_length_b 4.339
_cell_length_c 11.818
_cell_angle_alpha 90.00
_cell_angle_beta 90.00
_cell_angle_gamma 90.00
_space_group_name_H-M_alt 'P 4/n m m'
_space_group_IT_number 129
loop_
_space_group_symop_operation_xyz
'x,y,z'
'-x,-y,-z'
'-y+1/2,x,z'
'y+1/2,-x,-z'
'-x+1/2,-y+1/2,z'
'x+1/2,y+1/2,-z'
'y,-x+1/2,z'
'-y,x+1/2,-z'
'x+1/2,-y,-z'
'-x+1/2,y,z'
'-y,-x,-z'
'y,x,z'
'-x,y+1/2,-z'
'x,-y+1/2,z'
'y+1/2,x+1/2,-z'
'-y+1/2,-x+1/2,z'
loop_
_atom_site_label
_atom_site_type_symbol
_atom_site_fract_x
_atom_site_fract_y
_atom_site_fract_z
Ba1 Ba 0.250 0.250 0.223
Ni1 Ni 0.250 0.750 0.000
As1 As 0.250 0.250 0.909
Pb1 Pb 0.250 0.750 0.500

---

Record 2
# BaNiAsPd (PBE, optimized geometry)
# * total energy: -4.903 eV per atom
# * Fermi-level density of states: 6.9 states/eV per cell
data_BaNiAsPd
_chemical_formula_sum 'Ba2 Ni2 As2 Pd2'
_cell_length_a 4.017
_cell_length_b 4.017
_cell_length_c 11.262
_cell_angle_alpha 90.00
_cell_angle_beta 90.00
_cell_angle_gamma 90.00
_space_group_name_H-M_alt 'P 4/n m m'
_space_group_IT_number 129
loop_
_space_group_symop_operation_xyz
'x,y,z'
'-x,-y,-z'
'-y+1/2,x,z'
'y+1/2,-x,-z'
'-x+1/2,-y+1/2,z'
'x+1/2,y+1/2,-z'
'y,-x+1/2,z'
'-y,x+1/2,-z'
'x+1/2,-y,-z'
'-x+1/2,y,z'
'-y,-x,-z'
'y,x,z'
'-x,y+1/2,-z'
'x,-y+1/2,z'
'y+1/2,x+1/2,-z'
'-y+1/2,-x+1/2,z'
loop_
_atom_site_label
_atom_site_type_symbol
_atom_site_fract_x
_atom_site_fract_y
_atom_site_fract_z
Ba1 Ba 0.250 0.250 0.228
Ni1 Ni 0.250 0.750 0.500
As1 As 0.250 0.250 0.610
Pd1 Pd 0.250 0.750 0.000

---

Record 3
# Ba2NiAsPd (PBE, optimized geometry)
# * total energy: -3.989 eV per atom
# * Fermi-level density of states: 6.8 states/eV per cell
data_Ba2NiAsPd
_chemical_formula_sum 'Ba2 Ni1 As1 Pd1'
_cell_length_a 6.132
_cell_length_b 6.132
_cell_length_c 4.641
_cell_angle_alpha 90.00
_cell_angle_beta 90.00
_cell_angle_gamma 90.00
_space_group_name_H-M_alt 'P 4/m m m'
_space_group_IT_number 123
_space_group_name_Hall '-P 4 2'
loop_
_atom_site_label
_atom_site_type_symbol
_atom_site_fract_x
_atom_site_fract_y
_atom_site_fract_z
Ba1 Ba 0.000 0.500 0.000
Ni1 Ni 0.000 0.000 0.500
As1 As 0.500 0.500 0.500
Pd1 Pd 0.500 0.500 0.000

---

Record 4
# BaNiAs2Pd (PBE, optimized geometry)
# * total energy: -5.106 eV per atom
# * Fermi-level density of states: 6.3 states/eV per cell
data_BaNiAs2Pd
_chemical_formula_sum 'Ba2 Ni2 As4 Pd2'
_cell_length_a 4.335
_cell_length_b 4.335
_cell_length_c 11.552
_cell_angle_alpha 90.00
_cell_angle_beta 90.00
_cell_angle_gamma 90.00
_space_group_name_H-M_alt 'I -4 m 2'
_space_group_IT_number 119
_space_group_name_Hall 'I -4 -2'
loop_
_atom_site_label
_atom_site_type_symbol
_atom_site_fract_x
_atom_site_fract_y
_atom_site_fract_z
Ba1 Ba 0.000 0.000 0.000
Ni1 Ni 0.000 0.500 0.750
As1 As 0.000 0.000 0.353
Pd1 Pd 0.000 0.500 0.250